1.
A relaxed structure of K3TbCe2Te6. Source: Alexandria, functional PBE-GGA.

Unit cell a=7.991 b=7.991 c=8.643 alpha=98.87 beta=98.87 gamma=120.00
Atoms (fractional coordinates):
1 K 0.000 0.000 0.000
2 K 0.332 0.668 0.000
3 K 0.668 0.332 0.000
4 Tb 0.500 0.500 0.500
5 Ce 0.166 0.834 0.500
6 Ce 0.834 0.166 0.500
7 Te 0.103 0.429 0.288
8 Te 0.245 0.245 0.713
9 Te 0.429 0.103 0.288
10 Te 0.571 0.897 0.712
11 Te 0.755 0.755 0.287
12 Te 0.897 0.571 0.712

Summary:
Formation energy without anion corrections (meV/atom): -1363
SG: C2/m (12)

2.
A relaxed structure of KTbCe2Te4. Source: Alexandria, functional PBE-GGA.

Unit cell a=7.907 b=4.498 c=7.931 alpha=90.00 beta=108.70 gamma=90.00
Atoms (fractional coordinates):
1 K 0.000 0.000 0.000
2 Tb 0.000 0.500 0.500
3 Ce 0.500 0.000 0.500
4 Ce 0.500 0.500 0.000
5 Te 0.246 0.000 0.739
6 Te 0.256 0.500 0.265
7 Te 0.744 0.500 0.735
8 Te 0.754 0.000 0.261

Summary:
Formation energy without anion corrections (meV/atom): -1303
SG: P2/m (10)

3.
A relaxed structure of K3TbCe3Te8. Source: Alexandria, functional PBE-GGA.

Unit cell a=9.862 b=9.862 c=9.862 alpha=55.07 beta=55.07 gamma=55.07
Atoms (fractional coordinates):
1 K 0.000 0.500 0.500
2 K 0.500 0.000 0.500
3 K 0.500 0.500 0.000
4 Tb 0.500 0.500 0.500
5 Ce 0.000 0.000 0.500
6 Ce 0.000 0.500 0.000
7 Ce 0.500 0.000 0.000
8 Te 0.238 0.238 0.238
9 Te 0.238 0.734 0.734
10 Te 0.266 0.266 0.762
11 Te 0.266 0.762 0.266
12 Te 0.734 0.238 0.734
13 Te 0.734 0.734 0.238
14 Te 0.762 0.266 0.266
15 Te 0.762 0.762 0.762

Summary:
Formation energy without anion corrections (meV/atom): -1339
SG: R-3m (166)

4.
A relaxed structure of K5CeTe4. Source: Alexandria, functional PBE-GGA.

Unit cell a=10.875 b=10.875 c=9.131 alpha=114.58 beta=114.58 gamma=27.04
Atoms (fractional coordinates):
1 K 0.000 0.000 0.000
2 K 0.325 0.325 0.569
3 K 0.326 0.326 0.078
4 K 0.674 0.674 0.922
5 K 0.675 0.675 0.431
6 Ce 0.000 0.000 0.500
7 Te 0.177 0.177 0.679
8 Te 0.499 0.499 0.731
9 Te 0.501 0.501 0.269
10 Te 0.823 0.823 0.321

Summary:
Formation energy without anion corrections (meV/atom): -1062
SG: C2/m (12)

Question: Which of these has the lowest formation energy without anion corrections?
Answer: K3TbCe2Te6

Question: Look up the formation energy without anion corrections of the second one.
Answer: -1303 meV/atom